A relaxed structure of MgMn2ReSn. Source: Alexandria via LeMat-Bulk, functional PBE-GGA.

Lattice parameters (Å, degrees): 4.682 5.070 4.682 90.00 90.00 90.00
Sites, in units of the cell vectors:
Re  0.000  0.000  0.000
Mg  0.000  0.500  0.000
Mn  0.000  0.000  0.500
Mn  0.500  0.000  0.000
Sn  0.500  0.500  0.500

Results
The formation energy is 0.978 eV per atom. For the spin magnetization, the calculation gives 6.164 μB per formula unit. Its space group is P4/mmm, No. 123.

A relaxed structure of MgMn2ReTc. Source: Alexandria via LeMat-Bulk, functional PBE-GGA.

Lattice parameters (Å, degrees): 4.645 4.709 4.645 90.00 90.00 90.00
Sites, in units of the cell vectors:
Re  0.000  0.000  0.000
Mg  0.500  0.500  0.500
Mn  0.000  0.000  0.500
Mn  0.500  0.000  0.000
Tc  0.000  0.500  0.000

Results
The formation energy is 1.128 eV per atom. For the spin magnetization, the calculation gives 5.363 μB per formula unit. Its space group is P4/mmm, No. 123.

A relaxed structure of MgMnReTc. Source: Alexandria via LeMat-Bulk, functional PBE-GGA.

Lattice parameters (Å, degrees): 4.313 4.313 4.313 60.00 60.00 60.00
Sites, in units of the cell vectors:
Re  0.000  0.000  0.000
Mg  0.500  0.500  0.500
Mn  0.750  0.750  0.750
Tc  0.250  0.250  0.250

Results
The formation energy is 0.165 eV per atom. For the spin magnetization, the calculation gives 1.138 μB per formula unit. Its space group is F-43m, No. 216.

A relaxed structure of YMg2MnRe. Source: Alexandria via LeMat-Bulk, functional PBE-GGA.

Lattice parameters (Å, degrees): 4.849 4.951 4.849 90.00 90.00 90.00
Sites, in units of the cell vectors:
Y  0.000  0.500  0.000
Re  0.500  0.500  0.500
Mg  0.000  0.000  0.500
Mg  0.500  0.000  0.000
Mn  0.000  0.000  0.000

Results
The formation energy is 1.256 eV per atom. For the spin magnetization, the calculation gives 5.360 μB per formula unit. Its space group is P4/mmm, No. 123.

A relaxed structure of MgMnRh2. Source: Alexandria via LeMat-Bulk, functional PBE-GGA.

Lattice parameters (Å, degrees): 8.445 8.445 8.445 19.70 19.70 19.70
Sites, in units of the cell vectors:
Mg  0.250  0.250  0.250
Mn  0.750  0.750  0.750
Rh  0.004  0.004  0.004
Rh  0.496  0.496  0.496

Results
The formation energy is -0.151 eV per atom. For the spin magnetization, the calculation gives 3.939 μB per formula unit. Its space group is R-3m, No. 166.

A relaxed structure of MgMnRh. Source: Alexandria via LeMat-Bulk, functional PBE-GGA.

Lattice parameters (Å, degrees): 4.583 4.583 9.046 90.00 90.00 120.00
Sites, in units of the cell vectors:
Mg  0.333  0.667  0.250
Mg  0.667  0.333  0.750
Mn  0.000  0.000  0.250
Mn  0.000  0.000  0.750
Rh  0.000  0.000  0.000
Rh  0.000  0.000  0.500

Results
The formation energy is 1.388 eV per atom. For the spin magnetization, the calculation gives 4.139 μB per formula unit. Its space group is P6_3/mmc, No. 194.

> The highest spin magnetization belongs to which entry?

MgMn2ReSn